Computed, not measured: a geometry-optimized K3V2CrF9 structure at the GGA+U level of DFT.

Summary:
Electronic total energy (eV/atom): -5.53
Magnetization (μB per cell): 10.00
ρ (Mg/m³): 3.241
Crystal system: trigonal

Cell: 5.982 5.982 7.310 Å, 90.00 90.00 120.00°
Positions (direct):
K  0.000  0.000  0.000
K  0.333  0.667  0.667
K  0.667  0.333  0.333
V  0.333  0.667  0.167
V  0.667  0.333  0.833
Cr  0.000  0.000  0.500
F  0.000  0.500  0.000
F  0.167  0.333  0.334
F  0.167  0.833  0.334
F  0.333  0.167  0.666
F  0.500  0.000  0.000
F  0.500  0.500  0.000
F  0.667  0.833  0.334
F  0.833  0.167  0.666
F  0.833  0.667  0.666